BiRuW2N | meta-GGA SCAN | PBEsol geometry

Computed properties:
Energy relative to the elements, uncorrected (meV/atom): 4017

```
data_BiRuW2N
_chemical_formula_sum 'Bi1 Ru1 W2 N1'
_cell_length_a 5.110
_cell_length_b 5.110
_cell_length_c 4.884
_cell_angle_alpha 90.00
_cell_angle_beta 90.00
_cell_angle_gamma 90.00
_space_group_name_H-M_alt 'P 1'
_space_group_IT_number 1
loop_
_space_group_symop_operation_xyz
'x,y,z'
loop_
_atom_site_label
_atom_site_fract_x
_atom_site_fract_y
_atom_site_fract_z
_atom_site_occupancy
Bi1 0.000 0.000 0.000 1
Ru1 0.000 0.000 0.500 1
W1 0.000 0.500 0.000 1
W2 0.500 0.000 0.000 1
N1 0.500 0.500 0.500 1
```